A relaxed structure of CaEuCd2, computed with PBE.

The final energy comes out at -62.1 eV for the cell shown. The formation energy comes out at -0.353 eV per atom.

The structure belongs to space group Fm-3m (No. 225); the cell edges are 7.775, 7.775 and 7.775 Å and the angles 90.00°, 90.00° and 90.00°. The inequivalent atoms are Ca at (0.000, 0.000, 0.000), Eu at (0.000, 0.000, 0.500) and Cd at (0.250, 0.250, 0.250).